Entry 1:
PBE MoP, optimized geometry; SG = No. 109; calculated formation energy = -0.62 eV/atom
1.0
3.1072 0.0000 -0.8509
-0.2330 3.0984 -0.8509
-0.0065 -0.0070 6.0747
P Mo
2 2
direct
0.1675 0.1675 0.3351
0.9175 0.4175 0.8351
0.7499 0.7499 0.4998
0.4999 0.9999 0.9998



Entry 2:
PBE RbHPb, optimized geometry; SG = No. 6; polymorph energy (0 for the lowest one) = 15 meV per atom
1.0
-1.4693 -1.6809 -5.3580
1.3383 -4.6223 1.0831
-5.5855 -0.4861 4.8266
Rb H Pb
2 2 2
direct
0.4069 0.5000 0.8384
0.1606 0.0000 0.2643
0.4947 0.0000 0.6862
0.4082 0.5000 0.2630
0.7645 0.5000 0.4049
0.8302 0.0000 0.6901



Entry 3:
PBE TiRe3Hg, optimized geometry; SG = No. 221; calculated formation energy = 3.06 eV/atom; polymorph energy (0 for the lowest one) = 1134 meV per atom
1.0
-0.3789 4.5616 -1.5553
-4.5332 0.1923 1.6686
1.6364 1.5892 4.2623
Re Ti Hg
3 1 1
direct
0.0000 0.0000 0.5000
0.5000 0.0000 0.0000
0.0000 0.5000 0.0000
0.5000 0.5000 0.5000
0.0000 0.0000 0.0000



Entry 4:
PBE U2AlV, optimized geometry; SG = No. 166; calculated formation energy = 0.41 eV/atom
1.0
2.8486 0.0000 0.0000
1.4243 2.4669 0.0000
1.4243 0.8223 10.9209
V U Al
1 2 1
direct
0.5000 0.5000 0.5000
0.9089 0.9089 0.2732
0.0911 0.0911 0.7268
0.0000 0.0000 0.0000



Number 1: magnetic moment 0.0 μB per formula unit. Number 2: magnetic moment 0.0 μB per formula unit. Number 3: magnetic moment 0.0 μB per formula unit. Number 4: magnetic moment 0.0 μB per formula unit.